Record 1
# GGA-PBE SmMgPb, optimized geometry
# **DOS(E_F)**: 2.54 states/eV per cell
# **SG**: I4mm
# **Calculated total energy**: -10.692 eV per cell
data_SmMgPb
_chemical_formula_sum 'Sm1 Mg1 Pb1'
_cell_length_a 3.623
_cell_length_b 3.623
_cell_length_c 6.858
_cell_angle_alpha 105.32
_cell_angle_beta 105.32
_cell_angle_gamma 90.00
_space_group_name_H-M_alt 'P 1'
_space_group_IT_number 1
_space_group_name_Hall 'P 1'
loop_
_atom_site_label
_atom_site_type_symbol
_atom_site_fract_x
_atom_site_fract_y
_atom_site_fract_z
Pb1 Pb 0.938 0.938 0.875
Mg1 Mg 0.294 0.294 0.589
Sm1 Sm 0.618 0.618 0.236

***

Record 2
# GGA-PBE SmMgPb, optimized geometry
# **DOS(E_F)**: 6.37 states/eV per cell
# **SG**: P4/nmm
# **Calculated total energy**: -22.357 eV per cell
data_SmMgPb
_chemical_formula_sum 'Sm2 Mg2 Pb2'
_cell_length_a 4.523
_cell_length_b 4.523
_cell_length_c 8.111
_cell_angle_alpha 90.00
_cell_angle_beta 90.00
_cell_angle_gamma 90.00
_space_group_name_H-M_alt 'P 1'
_space_group_IT_number 1
_space_group_name_Hall 'P 1'
loop_
_atom_site_label
_atom_site_type_symbol
_atom_site_fract_x
_atom_site_fract_y
_atom_site_fract_z
Sm1 Sm 0.750 0.750 0.349
Sm2 Sm 0.250 0.250 0.651
Mg1 Mg 0.250 0.750 0.000
Mg2 Mg 0.750 0.250 0.000
Pb1 Pb 0.250 0.250 0.253
Pb2 Pb 0.750 0.750 0.747

***

Record 3
# GGA-PBE SmMg2Pb3, optimized geometry
# **DOS(E_F)**: 2.37 states/eV per cell
# **SG**: Cmmm
# **Calculated total energy**: -20.602 eV per cell
data_SmMg2Pb3
_chemical_formula_sum 'Sm1 Mg2 Pb3'
_cell_length_a 4.461
_cell_length_b 4.910
_cell_length_c 7.816
_cell_angle_alpha 108.31
_cell_angle_beta 90.00
_cell_angle_gamma 90.00
_space_group_name_H-M_alt 'P 1'
_space_group_IT_number 1
_space_group_name_Hall 'P 1'
loop_
_atom_site_label
_atom_site_type_symbol
_atom_site_fract_x
_atom_site_fract_y
_atom_site_fract_z
Sm1 Sm 0.000 0.000 0.000
Mg1 Mg 0.000 0.671 0.343
Mg2 Mg 0.000 0.329 0.657
Pb1 Pb 0.500 0.170 0.341
Pb2 Pb 0.500 0.500 0.000
Pb3 Pb 0.500 0.830 0.659

***

Record 4
# GGA-PBE Sm2MgPb, optimized geometry
# **DOS(E_F)**: 4.10 states/eV per cell
# **SG**: R-3m
# **Calculated total energy**: -14.525 eV per cell
data_Sm2MgPb
_chemical_formula_sum 'Sm2 Mg1 Pb1'
_cell_length_a 3.531
_cell_length_b 3.531
_cell_length_c 11.994
_cell_angle_alpha 81.54
_cell_angle_beta 81.54
_cell_angle_gamma 60.00
_space_group_name_H-M_alt 'P 1'
_space_group_IT_number 1
_space_group_name_Hall 'P 1'
loop_
_atom_site_label
_atom_site_type_symbol
_atom_site_fract_x
_atom_site_fract_y
_atom_site_fract_z
Pb1 Pb 0.000 0.000 0.000
Mg1 Mg 0.500 0.500 0.500
Sm1 Sm 0.091 0.091 0.726
Sm2 Sm 0.909 0.909 0.274

***

Record 5
# GGA-PBE Sm4Mg4Pb7, optimized geometry
# **DOS(E_F)**: 12.76 states/eV per cell
# **SG**: I4/mmm
# **Calculated total energy**: -112.665 eV per cell
data_Sm4Mg4Pb7
_chemical_formula_sum 'Sm8 Mg8 Pb14'
_cell_length_a 6.429
_cell_length_b 11.817
_cell_length_c 11.817
_cell_angle_alpha 85.76
_cell_angle_beta 74.22
_cell_angle_gamma 74.22
_space_group_name_H-M_alt 'P 1'
_space_group_IT_number 1
_space_group_name_Hall 'P 1'
loop_
_atom_site_label
_atom_site_type_symbol
_atom_site_fract_x
_atom_site_fract_y
_atom_site_fract_z
Sm1 Sm 0.864 0.273 0.000
Sm2 Sm 0.136 0.727 0.000
Sm3 Sm 0.136 0.000 0.727
Sm4 Sm 0.864 0.000 0.273
Sm5 Sm 0.500 0.808 0.192
Sm6 Sm 0.500 0.192 0.808
Sm7 Sm 0.308 0.192 0.192
Sm8 Sm 0.692 0.808 0.808
Mg1 Mg 0.095 0.809 0.500
Mg2 Mg 0.405 0.191 0.500
Mg3 Mg 0.405 0.500 0.191
Mg4 Mg 0.095 0.500 0.809
Mg5 Mg 0.905 0.500 0.191
Mg6 Mg 0.595 0.500 0.809
Mg7 Mg 0.595 0.809 0.500
Mg8 Mg 0.905 0.191 0.500
Pb1 Pb 0.500 0.594 0.406
Pb2 Pb 0.500 0.406 0.594
Pb3 Pb 0.094 0.406 0.406
Pb4 Pb 0.906 0.594 0.594
Pb5 Pb 0.750 0.000 0.000
Pb6 Pb 0.250 0.000 0.000
Pb7 Pb 0.697 0.606 0.000
Pb8 Pb 0.303 0.394 0.000
Pb9 Pb 0.303 0.000 0.394
Pb10 Pb 0.697 0.000 0.606
Pb11 Pb 0.000 0.277 0.723
Pb12 Pb 0.000 0.723 0.277
Pb13 Pb 0.277 0.723 0.723
Pb14 Pb 0.723 0.277 0.277

***

Record 6
# GGA-PBE Sm4Mg5Pb6, optimized geometry
# **DOS(E_F)**: 4.32 states/eV per cell
# **SG**: Cmc2_1
# **Calculated total energy**: -109.000 eV per cell
data_Sm4Mg5Pb6
_chemical_formula_sum 'Sm8 Mg10 Pb12'
_cell_length_a 4.771
_cell_length_b 10.823
_cell_length_c 16.875
_cell_angle_alpha 90.00
_cell_angle_beta 90.00
_cell_angle_gamma 102.73
_space_group_name_H-M_alt 'P 1'
_space_group_IT_number 1
_space_group_name_Hall 'P 1'
loop_
_atom_site_label
_atom_site_type_symbol
_atom_site_fract_x
_atom_site_fract_y
_atom_site_fract_z
Sm1 Sm 0.967 0.934 0.267
Sm2 Sm 0.033 0.066 0.767
Sm3 Sm 0.162 0.325 0.300
Sm4 Sm 0.838 0.675 0.800
Sm5 Sm 0.826 0.652 0.442
Sm6 Sm 0.174 0.348 0.942
Sm7 Sm 0.019 0.038 0.499
Sm8 Sm 0.981 0.962 0.999
Mg1 Mg 0.438 0.876 0.683
Mg2 Mg 0.562 0.124 0.183
Mg3 Mg 0.154 0.309 0.627
Mg4 Mg 0.846 0.691 0.127
Mg5 Mg 0.652 0.305 0.485
Mg6 Mg 0.348 0.695 0.985
Mg7 Mg 0.303 0.607 0.619
Mg8 Mg 0.697 0.393 0.119
Mg9 Mg 0.342 0.685 0.273
Mg10 Mg 0.658 0.315 0.773
Pb1 Pb 0.764 0.528 0.269
Pb2 Pb 0.428 0.855 0.418
Pb3 Pb 0.772 0.545 0.975
Pb4 Pb 0.228 0.455 0.475
Pb5 Pb 0.438 0.876 0.854
Pb6 Pb 0.562 0.124 0.354
Pb7 Pb 0.432 0.865 0.130
Pb8 Pb 0.568 0.135 0.630
Pb9 Pb 0.110 0.220 0.115
Pb10 Pb 0.890 0.780 0.615
Pb11 Pb 0.572 0.145 0.918
Pb12 Pb 0.236 0.472 0.769